1.
A plane-wave DFT calculation with GGA-PBEsol was carried out for a relaxed structure of Te2PdSe2.

POSCAR file:
```
Te2PdSe2
1.0
-2.366 -1.993 4.649
5.563 -3.256 1.436
2.198 5.240 3.366
Pd Te Se
2 4 4
direct
0.000 0.000 0.000 Pd
0.000 0.500 0.500 Pd
0.500 0.773 0.727 Te
0.500 0.227 0.273 Te
0.500 0.273 0.773 Te
0.500 0.727 0.227 Te
0.000 0.670 0.170 Se
0.000 0.830 0.670 Se
0.000 0.170 0.330 Se
0.000 0.330 0.830 Se
```

Magnetization in μB/atom: 0.00
Crystal system: tetragonal
Symmetry: P4/mbm
Uncorrected formation energy in meV per atom: 15

2.
A plane-wave DFT calculation with GGA-PBEsol was carried out for a relaxed structure of Ti2PdSe.

POSCAR file:
```
Ti2PdSe
1.0
-5.085 -1.448 -1.878
1.435 -1.032 5.325
0.102 5.594 -0.415
Pd Se Ti
2 2 4
direct
0.000 0.000 0.000 Pd
0.250 0.750 0.500 Pd
0.750 0.250 0.500 Se
0.500 0.500 0.000 Se
0.384 0.375 0.509 Ti
0.125 0.616 0.991 Ti
0.625 0.134 0.009 Ti
0.866 0.875 0.491 Ti
```

Magnetization in μB/atom: 0.00
Crystal system: tetragonal
Symmetry: I-42d
Uncorrected formation energy in meV per atom: -411

3.
A plane-wave DFT calculation with GGA-PBEsol was carried out for a relaxed structure of TlPd2Se3.

POSCAR file:
```
TlPd2Se3
1.0
-0.995 -2.141 -4.917
-6.212 -3.104 2.608
-0.204 6.814 -2.925
Se Pd Tl
6 4 2
direct
0.769 0.169 0.831 Se
0.769 0.662 0.831 Se
0.231 0.831 0.662 Se
0.769 0.169 0.338 Se
0.231 0.831 0.169 Se
0.231 0.338 0.169 Se
0.000 0.000 0.000 Pd
0.000 0.500 0.500 Pd
0.000 0.500 0.000 Pd
0.000 0.000 0.500 Pd
0.645 0.667 0.333 Tl
0.355 0.333 0.667 Tl
```

Magnetization in μB/atom: 0.00
Crystal system: trigonal
Symmetry: P-3m1
Uncorrected formation energy in meV per atom: -393

4.
A plane-wave DFT calculation with GGA-PBEsol was carried out for a relaxed structure of PdW3Se.

POSCAR file:
```
PdW3Se
1.0
4.517 0.000 0.000
0.000 4.517 0.000
0.000 0.000 4.517
Se W Pd
1 3 1
direct
0.000 0.000 0.000 Se
0.500 0.000 0.000 W
0.000 0.500 0.000 W
0.000 0.000 0.500 W
0.500 0.500 0.500 Pd
```

Magnetization in μB/atom: 0.00
Crystal system: cubic
Symmetry: Pm-3m
Uncorrected formation energy in meV per atom: 1704

5.
A plane-wave DFT calculation with GGA-PBEsol was carried out for a relaxed structure of ZrPdSe3.

POSCAR file:
```
ZrPdSe3
1.0
-3.087 4.046 0.155
-1.245 -0.764 -4.877
-3.853 -2.995 1.452
Pd Se Zr
1 3 1
direct
0.500 0.500 0.500 Pd
0.500 0.000 0.000 Se
0.000 0.500 0.000 Se
0.000 0.000 0.500 Se
0.000 0.000 0.000 Zr
```

Magnetization in μB/atom: 0.00
Crystal system: cubic
Symmetry: Pm-3m
Uncorrected formation energy in meV per atom: 29

6.
A plane-wave DFT calculation with GGA-PBEsol was carried out for a relaxed structure of ZrPd3Se.

POSCAR file:
```
ZrPd3Se
1.0
4.807 0.000 0.000
0.000 4.807 0.000
0.000 0.000 4.807
Pd Zr Se
3 1 1
direct
0.000 0.000 0.500 Pd
0.500 0.000 0.000 Pd
0.000 0.500 0.000 Pd
0.000 0.000 0.000 Zr
0.500 0.500 0.500 Se
```

Magnetization in μB/atom: 0.00
Crystal system: cubic
Symmetry: Pm-3m
Uncorrected formation energy in meV per atom: 796

7.
A plane-wave DFT calculation with GGA-PBEsol was carried out for a relaxed structure of SiPd2.

POSCAR file:
```
SiPd2
1.0
-1.538 -3.080 0.139
5.644 -2.748 1.541
-3.919 2.166 4.662
Pd Si
6 3
direct
0.000 0.000 0.265 Pd
0.500 0.606 0.000 Pd
0.500 0.394 0.394 Pd
0.000 0.735 0.735 Pd
0.500 0.000 0.606 Pd
0.000 0.265 0.000 Pd
0.000 0.333 0.667 Si
0.000 0.667 0.333 Si
0.500 0.000 0.000 Si
```

Magnetization in μB/atom: 0.00
Crystal system: hexagonal
Symmetry: P-62m
Uncorrected formation energy in meV per atom: -764

8.
A plane-wave DFT calculation with GGA-PBEsol was carried out for a relaxed structure of SiPd.

POSCAR file:
```
SiPd
1.0
3.414 0.000 0.000
0.000 5.578 0.000
0.000 0.000 6.095
Si Pd
4 4
direct
0.250 0.177 0.573 Si
0.750 0.323 0.073 Si
0.750 0.823 0.427 Si
0.250 0.677 0.927 Si
0.750 0.495 0.690 Pd
0.750 0.995 0.810 Pd
0.250 0.005 0.190 Pd
0.250 0.505 0.310 Pd
```

Magnetization in μB/atom: 0.00
Crystal system: orthorhombic
Symmetry: Pnma
Uncorrected formation energy in meV per atom: -629